(1)
The following is a DFT calculation (PBE) of an optimized crystal structure of Mo5W3.

Computed properties:
Crystal system = orthorhombic
Energy relative to the elements = -1.2 kJ per mole of atoms
Relative energy among the computed polymorphs = 0.000 eV per atom
E_tot = -93.11 eV per formula unit

POSCAR file:
```
Mo5W3
1.0
3.181 0.000 0.000
0.000 4.481 0.000
0.000 0.000 8.957
Mo W
5 3
direct
0.000 0.000 0.000
0.000 0.000 0.499
0.000 0.500 0.249
0.500 0.000 0.249
0.500 0.500 0.000
0.000 0.500 0.750
0.500 0.000 0.750
0.500 0.500 0.499
```

---

(2)
The following is a DFT calculation (PBE) of an optimized crystal structure of AlCu3Au2.

Computed properties:
Crystal system = orthorhombic
Energy relative to the elements = -8.7 kJ per mole of atoms
Relative energy among the computed polymorphs = 0.039 eV per atom
E_tot = -23.13 eV per formula unit

POSCAR file:
```
AlCu3Au2
1.0
8.282 0.000 0.000
0.000 2.796 0.000
0.000 0.000 15.341
Al Cu Au
4 12 8
direct
0.198 0.250 0.163
0.302 0.750 0.663
0.698 0.250 0.337
0.802 0.750 0.837
0.012 0.750 0.575
0.039 0.250 0.905
0.239 0.250 0.330
0.261 0.750 0.830
0.461 0.750 0.405
0.488 0.250 0.075
0.512 0.750 0.925
0.539 0.250 0.595
0.739 0.250 0.170
0.761 0.750 0.670
0.961 0.750 0.095
0.988 0.250 0.425
0.032 0.250 0.728
0.236 0.750 0.009
0.264 0.250 0.509
0.468 0.750 0.228
0.532 0.250 0.772
0.736 0.750 0.491
0.764 0.250 0.991
0.968 0.750 0.272
```

---

(3)
The following is a DFT calculation (PBE) of an optimized crystal structure of PmCuBr5.

Computed properties:
Crystal system = monoclinic
Uncorrected formation energy = -1.141 eV per atom
E_tot = -25.20 eV per formula unit

POSCAR file:
```
PmCuBr5
1.0
3.748 -7.323 0.000
3.748 7.323 0.000
-2.144 0.000 8.647
Pm Cu Br
2 2 10
direct
0.037 0.963 0.750
0.963 0.037 0.250
0.500 0.500 0.000
0.500 0.500 0.500
0.001 0.218 0.972
0.200 0.469 0.387
0.218 0.001 0.472
0.429 0.571 0.750
0.469 0.200 0.887
0.531 0.800 0.113
0.571 0.429 0.250
0.782 0.999 0.528
0.800 0.531 0.613
0.999 0.782 0.028
```

---

(4)
The following is a DFT calculation (PBE) of an optimized crystal structure of NbCd3Fe.

Computed properties:
Crystal system = cubic
Energy relative to the elements = 101.3 kJ per mole of atoms
Relative energy among the computed polymorphs = 0.000 eV per atom
E_tot = -16.03 eV per formula unit

POSCAR file:
```
NbCd3Fe
1.0
4.831 0.000 0.000
0.000 4.831 0.000
0.000 0.000 4.831
Nb Cd Fe
1 3 1
direct
0.000 0.000 0.000
0.000 0.500 0.500
0.500 0.000 0.500
0.500 0.500 0.000
0.500 0.500 0.500
```

---

(5)
The following is a DFT calculation (PBE) of an optimized crystal structure of PmY2I.

Computed properties:
Crystal system = trigonal
Uncorrected formation energy = -0.046 eV per atom
Relative energy among the computed polymorphs = 0.293 eV per atom
E_tot = -19.41 eV per formula unit

POSCAR file:
```
PmY2I
1.0
1.816 1.049 11.723
-1.816 1.049 11.723
0.000 -2.097 11.723
Pm Y I
1 2 1
direct
0.000 0.000 0.000
0.096 0.096 0.096
0.904 0.904 0.904
0.500 0.500 0.500
```

---

(6)
The following is a DFT calculation (PBE) of an optimized crystal structure of BaLi2BeF8.

Computed properties:
Crystal system = trigonal
Uncorrected formation energy = -2.630 eV per atom
E_tot = -56.01 eV per formula unit

POSCAR file:
```
BaLi2BeF8
1.0
4.962 0.000 0.000
-2.481 4.297 0.000
0.000 0.000 6.780
Ba Li Be F
1 2 1 8
direct
0.000 0.000 0.000
0.333 0.667 0.501
0.667 0.333 0.499
0.000 0.000 0.500
0.000 0.292 0.645
0.000 0.708 0.355
0.292 0.293 0.355
0.293 0.000 0.645
0.333 0.667 0.999
0.667 0.333 0.001
0.707 0.000 0.355
0.708 0.707 0.645
```

---

(7)
The following is a DFT calculation (PBE) of an optimized crystal structure of KMgIn2Au4.

Computed properties:
Crystal system = trigonal
Energy relative to the elements = -30.3 kJ per mole of atoms
E_tot = -23.79 eV per formula unit

POSCAR file:
```
KMgIn2Au4
1.0
2.369 1.368 9.828
-2.369 1.368 9.828
0.000 -2.735 9.828
K Mg In Au
1 1 2 4
direct
0.000 0.000 0.000
0.500 0.500 0.500
0.240 0.240 0.240
0.760 0.760 0.760
0.138 0.138 0.138
0.408 0.408 0.408
0.592 0.592 0.592
0.862 0.862 0.862
```

---

(8)
The following is a DFT calculation (PBE) of an optimized crystal structure of AcCuAg2.

Computed properties:
Crystal system = monoclinic
Energy relative to the elements = -17.6 kJ per mole of atoms
Relative energy among the computed polymorphs = 0.009 eV per atom
E_tot = -14.64 eV per formula unit

POSCAR file:
```
AcCuAg2
1.0
2.846 -6.725 0.000
2.846 6.725 0.000
-2.764 0.000 4.793
Ac Cu Ag
2 2 4
direct
0.115 0.885 0.750
0.885 0.115 0.250
0.497 0.503 0.750
0.503 0.497 0.250
0.169 0.495 0.919
0.495 0.169 0.419
0.505 0.831 0.581
0.831 0.505 0.081
```

---

(9)
The following is a DFT calculation (PBE) of an optimized crystal structure of InCoHg2.

Computed properties:
Crystal system = orthorhombic
Energy relative to the elements = 16.2 kJ per mole of atoms
E_tot = -9.78 eV per formula unit

POSCAR file:
```
InCoHg2
1.0
-1.464 2.191 6.528
1.464 -2.191 6.528
1.464 2.191 -6.528
In Co Hg
1 1 2
direct
0.000 0.000 0.000
0.500 0.500 0.000
0.322 0.822 0.500
0.678 0.178 0.500
```

---

(10)
The following is a DFT calculation (PBE) of an optimized crystal structure of Y3Te2S.

Computed properties:
Crystal system = tetragonal
Uncorrected formation energy = -1.519 eV per atom
Relative energy among the computed polymorphs = 0.022 eV per atom
E_tot = -38.92 eV per formula unit

POSCAR file:
```
Y3Te2S
1.0
-2.082 2.082 9.373
2.082 -2.082 9.373
2.082 2.082 -9.373
Y Te S
3 2 1
direct
0.000 0.000 0.000
0.361 0.361 0.000
0.639 0.639 0.000
0.174 0.174 0.000
0.826 0.826 0.000
0.500 0.500 0.000
```

---

Question: The lowest E_tot belongs to which entry?
Answer: Mo5W3

---

Question: Which value of E_tot does entry 6 give?
Answer: -56.01 eV per formula unit